Computed, not measured: a PBEsol-optimized structure of Ba2Rh at the SCAN level of DFT.

Computed properties:
* density of states at the Fermi level: 0.70 states/eV per atom
* magnetic moment: 0.00 μB per formula unit
* symmetry: No. 12
* DFT formation energy: -0.16 eV/atom

Cell: 4.285 7.646 9.616 Å, 129.97 90.00 106.27°
Fractional coordinates of all 6 atoms:
Rh 0.901 0.802 0.977
Rh 0.099 0.198 0.023
Ba 0.196 0.392 0.787
Ba 0.569 0.137 0.261
Ba 0.431 0.863 0.739
Ba 0.804 0.608 0.213

Computed, not measured: a PBEsol-optimized structure of Ba2Rh at the SCAN level of DFT.

Computed properties:
* density of states at the Fermi level: 0.67 states/eV per atom
* magnetic moment: 0.00 μB per formula unit
* symmetry: No. 63
* DFT formation energy: -0.08 eV/atom

Cell: 4.352 6.156 9.712 Å, 90.00 102.95 90.00°
Fractional coordinates of all 6 atoms:
Rh 0.321 0.750 0.641
Rh 0.679 0.250 0.359
Ba 0.699 0.750 0.399
Ba 0.920 0.750 0.839
Ba 0.080 0.250 0.161
Ba 0.301 0.250 0.601

Computed, not measured: a PBEsol-optimized structure of BaRh at the SCAN level of DFT.

Computed properties:
* density of states at the Fermi level: 0.46 states/eV per atom
* magnetic moment: 0.00 μB per formula unit
* symmetry: No. 216
* DFT formation energy: 0.70 eV/atom

Cell: 4.529 4.529 4.529 Å, 60.00 60.00 60.00°
Fractional coordinates of all 2 atoms:
Ba 0.000 0.000 0.000
Rh 0.250 0.250 0.250

Computed, not measured: a PBEsol-optimized structure of Ba2RuRh at the SCAN level of DFT.

Computed properties:
* energy relative to the lowest polymorph listed for this composition: 647 meV/atom
* density of states at the Fermi level: 0.99 states/eV per atom
* magnetic moment: 0.00 μB per formula unit
* symmetry: No. 225
* DFT formation energy: 0.68 eV/atom

Cell: 5.171 5.171 5.171 Å, 60.00 60.00 60.00°
Fractional coordinates of all 4 atoms:
Ba 0.250 0.250 0.250
Ba 0.750 0.750 0.750
Rh 0.500 0.500 0.500
Ru 0.000 0.000 0.000

Computed, not measured: a PBEsol-optimized structure of BaRuRh3 at the SCAN level of DFT.

Computed properties:
* energy relative to the lowest polymorph listed for this composition: 1857 meV/atom
* density of states at the Fermi level: 1.16 states/eV per atom
* magnetic moment: 3.60 μB per formula unit
* symmetry: No. 221
* DFT formation energy: 2.42 eV/atom

Cell: 4.867 4.867 4.867 Å, 90.00 90.00 90.00°
Site moments in Bohr magnetons follow the coordinates.
Fractional coordinates of all 5 atoms:
Ru 0.500 0.500 0.500  2.71
Rh 0.000 0.500 0.000  0.34
Rh 0.000 0.000 0.500  0.34
Rh 0.500 0.000 0.000  0.34
Ba 0.000 0.000 0.000  -0.04

Computed, not measured: a PBEsol-optimized structure of BaRu2Rh at the SCAN level of DFT.

Computed properties:
* energy relative to the lowest polymorph listed for this composition: 838 meV/atom
* density of states at the Fermi level: 1.62 states/eV per atom
* magnetic moment: 0.00 μB per formula unit
* symmetry: No. 166
* DFT formation energy: 1.14 eV/atom

Cell: 2.898 2.898 9.936 Å, 81.61 81.61 60.00°
Fractional coordinates of all 4 atoms:
Ba 0.500 0.500 0.500
Rh 0.000 0.000 0.000
Ru 0.265 0.265 0.206
Ru 0.735 0.735 0.794

Q: What is the formula in the fifth record?
A: BaRuRh3